## P
{
  "formula": "BaTi2V2",
  "functional": "PBE",
  "state": "optimized geometry",
  "rho_g_cm3": 5.06,
  "m_tot_mub_per_atom": 0.00,
  "cell": [[-1.8406, 1.8406, 8.1158], [1.8406, -1.8406, 8.1158], [1.8406, 1.8406, -8.1158]],
  "species": ["Ba", "Ti", "Ti", "V", "V"],
  "fractional_positions": [[0.0000, 0.0000, 0.0000], [0.3649, 0.3649, 0.0000], [0.6351, 0.6351, 0.0000], [0.2500, 0.7500, 0.5000], [0.7500, 0.2500, 0.5000]]
}

---

## Q
{
  "formula": "BaTi2V2",
  "functional": "PBE",
  "state": "optimized geometry",
  "rho_g_cm3": 5.22,
  "m_tot_mub_per_atom": 0.12,
  "cell": [[8.2521, 0.0000, 0.0000], [0.0000, 8.2521, 0.0000], [0.0000, 0.0000, 3.1271]],
  "species": ["Ba", "Ba", "Ti", "Ti", "Ti", "Ti", "V", "V", "V", "V"],
  "fractional_positions": [[0.0000, 0.0000, 0.0000], [0.5000, 0.5000, 0.0000], [0.1266, 0.3734, 0.0000], [0.3734, 0.8734, 0.0000], [0.6266, 0.1266, 0.0000], [0.8734, 0.6266, 0.0000], [0.1230, 0.6230, 0.5000], [0.3770, 0.1230, 0.5000], [0.6230, 0.8770, 0.5000], [0.8770, 0.3770, 0.5000]]
}

---

Q ends up most stable, edging out the next structure by 9.5 kJ/mol of atoms.

---

## P
{
  "formula": "BaTiW3",
  "functional": "PBE",
  "state": "optimized geometry",
  "rho_g_cm3": 10.66,
  "m_tot_mub_per_atom": 0.00,
  "cell": [[4.8602, 0.0000, 0.0000], [0.0000, 4.8602, 0.0000], [0.0000, 0.0000, 4.8602]],
  "species": ["Ba", "Ti", "W", "W", "W"],
  "fractional_positions": [[0.0000, 0.0000, 0.0000], [0.5000, 0.5000, 0.5000], [0.0000, 0.5000, 0.5000], [0.5000, 0.0000, 0.5000], [0.5000, 0.5000, 0.0000]]
}

---

## Q
{
  "formula": "BaTiW3",
  "functional": "PBE",
  "state": "optimized geometry",
  "rho_g_cm3": 10.04,
  "m_tot_mub_per_atom": 0.37,
  "cell": [[4.9578, 0.0000, 0.0000], [0.0000, 4.9578, 0.0000], [0.0000, 0.0000, 4.9578]],
  "species": ["Ba", "Ti", "W", "W", "W"],
  "fractional_positions": [[0.0000, 0.0000, 0.0000], [0.5000, 0.5000, 0.5000], [0.0000, 0.0000, 0.5000], [0.0000, 0.5000, 0.0000], [0.5000, 0.0000, 0.0000]]
}

---

P ends up most stable, edging out the next structure by 168.3 kJ/mol of atoms.

---

## P
{
  "formula": "BaTi2W",
  "functional": "PBE",
  "state": "optimized geometry",
  "rho_g_cm3": 5.56,
  "m_tot_mub_per_atom": 0.03,
  "cell": [[-2.7379, 2.7379, 8.3022], [2.7379, -2.7379, 8.3022], [2.7379, 2.7379, -8.3022]],
  "species": ["Ba", "Ba", "Ti", "Ti", "Ti", "Ti", "W", "W"],
  "fractional_positions": [[0.3750, 0.6250, 0.7500], [0.6250, 0.3750, 0.2500], [0.0000, 0.0000, 0.0000], [0.0000, 0.0000, 0.5000], [0.0000, 0.5000, 0.0000], [0.5000, 0.0000, 0.5000], [0.1250, 0.8750, 0.2500], [0.8750, 0.1250, 0.7500]]
}

---

## Q
{
  "formula": "BaTi2W",
  "functional": "PBE",
  "state": "optimized geometry",
  "rho_g_cm3": 8.41,
  "m_tot_mub_per_atom": 0.02,
  "cell": [[0.0000, 3.4532, 3.4532], [3.4532, 0.0000, 3.4532], [3.4532, 3.4532, 0.0000]],
  "species": ["Ba", "Ti", "Ti", "W"],
  "fractional_positions": [[0.0000, 0.0000, 0.0000], [0.2500, 0.2500, 0.2500], [0.7500, 0.7500, 0.7500], [0.5000, 0.5000, 0.5000]]
}

---

Q ends up most stable, edging out the next structure by 27.6 kJ/mol of atoms.

---

## P
{
  "formula": "BaYTi2",
  "functional": "PBE",
  "state": "optimized geometry",
  "rho_g_cm3": 4.57,
  "m_tot_mub_per_atom": 0.97,
  "cell": [[-4.2646, 4.2646, 3.2180], [4.2646, -4.2646, 3.2180], [4.2646, 4.2646, -3.2180]],
  "species": ["Ba", "Ba", "Y", "Y", "Ti", "Ti", "Ti", "Ti"],
  "fractional_positions": [[0.0000, 0.0000, 0.0000], [0.7500, 0.2500, 0.5000], [0.2500, 0.7500, 0.5000], [0.5000, 0.5000, 0.0000], [0.1346, 0.1250, 0.5096], [0.3750, 0.8654, 0.9904], [0.6154, 0.6250, 0.4904], [0.8750, 0.3846, 0.0096]]
}

---

## Q
{
  "formula": "BaYTi2",
  "functional": "PBE",
  "state": "optimized geometry",
  "rho_g_cm3": 4.72,
  "m_tot_mub_per_atom": 1.17,
  "cell": [[0.0000, 3.8402, 3.8402], [3.8402, 0.0000, 3.8402], [3.8402, 3.8402, 0.0000]],
  "species": ["Ba", "Y", "Ti", "Ti"],
  "fractional_positions": [[0.0000, 0.0000, 0.0000], [0.5000, 0.5000, 0.5000], [0.2500, 0.2500, 0.2500], [0.7500, 0.7500, 0.7500]]
}

---

Q ends up most stable, edging out the next structure by 22.7 kJ/mol of atoms.